The following is a DFT calculation (PBE) of a relaxed TiReMo crystal.

CIF file:
```
data_TiReMo
_chemical_formula_sum 'Ti1 Re1 Mo1'
_symmetry_space_group_name_H-M 'P 1'
_symmetry_Int_Tables_number 1
_symmetry_space_group_name_Hall 'P 1'
_cell_length_a 2.771
_cell_length_b 4.389
_cell_length_c 4.389
_cell_angle_alpha 120.00
_cell_angle_beta 90.00
_cell_angle_gamma 90.00
loop_
_atom_site_label
_atom_site_type_symbol
_atom_site_fract_x
_atom_site_fract_y
_atom_site_fract_z
_atom_site_occupancy
Re1 Re 0.678 0.333 0.667 1
Mo1 Mo 0.993 0.000 0.000 1
Ti1 Ti 0.329 0.667 0.333 1
```

For the formation energy, the calculation gives -267 meV per atom. The space-group type is P3m1, No. 156. The calculation puts the total moment at 0.000 μB per atom.